Record 1
# RbBaTbSe3 PBE-GGA optimized geometry
data_RbBaTbSe3
_symmetry_space_group_name_H-M 'P n m a'
_symmetry_Int_Tables_number 62
_cell_length_a 13.308
_cell_length_b 4.343
_cell_length_c 14.117
_cell_angle_alpha 90.00
_cell_angle_beta 90.00
_cell_angle_gamma 90.00
loop_
_symmetry_equiv_pos_as_xyz
'x,y,z'
'-x,-y,-z'
'-x+1/2,-y,z+1/2'
'x+1/2,y,-z+1/2'
'x+1/2,-y+1/2,-z+1/2'
'-x+1/2,y+1/2,z+1/2'
'-x,y+1/2,-z'
'x,-y+1/2,z'
loop_
_atom_site_label
_atom_site_type_symbol
_atom_site_fract_x
_atom_site_fract_y
_atom_site_fract_z
Rb1 Rb 0.120 0.250 0.073
Ba1 Ba 0.130 0.250 0.418
Tb1 Tb 0.104 0.250 0.744
Se1 Se 0.103 0.750 0.256
Se2 Se 0.121 0.750 0.600
Se3 Se 0.132 0.750 0.875
# calculated volume = 815.9 Å³ per cell
# total magnetic moment = 0.00 μB per formula unit


Record 2
# HoEr2Sc3AgTe2 PBE-GGA optimized geometry
data_HoEr2Sc3AgTe2
_symmetry_space_group_name_H-M 'A m m 2'
_symmetry_Int_Tables_number 38
_cell_length_a 3.953
_cell_length_b 13.950
_cell_length_c 8.054
_cell_angle_alpha 90.00
_cell_angle_beta 90.00
_cell_angle_gamma 90.00
loop_
_symmetry_equiv_pos_as_xyz
'x,y,z'
'-x,-y,z'
'-x,y,z'
'x,-y,z'
'x,y+1/2,z+1/2'
'-x,-y+1/2,z+1/2'
'-x,y+1/2,z+1/2'
'x,-y+1/2,z+1/2'
loop_
_atom_site_label
_atom_site_type_symbol
_atom_site_fract_x
_atom_site_fract_y
_atom_site_fract_z
Ho1 Ho 0.000 0.000 0.000
Er1 Er 0.000 0.199 0.402
Sc1 Sc 0.500 0.000 0.350
Sc2 Sc 0.500 0.126 0.727
Ag1 Ag 0.000 0.000 0.600
Te1 Te 0.500 0.167 0.101
# calculated volume = 444.1 Å³ per cell
# total magnetic moment = 0.13 μB per formula unit


Record 3
# CoH PBE-GGA optimized geometry
data_CoH
_symmetry_space_group_name_H-M 'C m m m'
_symmetry_Int_Tables_number 65
_symmetry_space_group_name_Hall '-C 2 2'
_cell_length_a 2.462
_cell_length_b 4.376
_cell_length_c 2.505
_cell_angle_alpha 90.00
_cell_angle_beta 90.00
_cell_angle_gamma 90.00
loop_
_atom_site_label
_atom_site_type_symbol
_atom_site_fract_x
_atom_site_fract_y
_atom_site_fract_z
Co1 Co 0.000 0.000 0.000
H1 H 0.000 0.500 0.500
# calculated volume = 27.0 Å³ per cell
# total magnetic moment = 1.14 μB per formula unit


What are the total energy values for these records? In order: -114.11; -95.19; -19.91 eV for the cell shown.